# SiTe2

A relaxed structure of SiTe2 (PBE, Alexandria via LeMat-Bulk).

Results
magnetic moment	0.0	μB/f.u.
V	79.5	Å³ per cell
SG	R3m (160)
ΔE_f (raw)	0.26	eV/atom
electronic total energy	-3.643	eV/atom

Lattice parameters (Å, degrees): 6.4612 6.4612 6.4612 35.06 35.06 35.06
Fractional coordinates of all 3 atoms:
1 Si 0.0000 0.0000 0.0000
2 Te 0.5678 0.5678 0.5678
3 Te 0.7620 0.7620 0.7620

# LuCuIrPd

A relaxed structure of LuCuIrPd (PBE, Alexandria via LeMat-Bulk).

Results
magnetic moment	0.0	μB/f.u.
V	65.7	Å³ per cell
SG	F-43m (216)
electronic total energy	-6.132	eV/atom
ΔE_f	-0.4646	eV per atom

Lattice parameters (Å, degrees): 4.5297 4.5297 4.5297 60.00 60.00 60.00
Fractional coordinates of all 4 atoms:
1 Lu 0.0000 0.0000 0.0000
2 Cu 0.5000 0.5000 0.5000
3 Ir 0.2500 0.2500 0.2500
4 Pd 0.7500 0.7500 0.7500